(1)
! Tl3CdBr, relaxed, DFT PBE; values from VASP
&SYSTEM
  ibrav = 0, nat = 5, ntyp = 3
/
ATOMIC_SPECIES
Tl 204.38 Tl.upf
Cd 112.41 Cd.upf
Br 79.90 Br.upf
CELL_PARAMETERS angstrom
6.0844 0.0000 0.0000
0.0000 6.0844 0.0000
0.0000 0.0000 6.0844
ATOMIC_POSITIONS crystal
Tl 0.0000 0.0000 0.5000
Tl 0.0000 0.5000 0.0000
Tl 0.5000 0.0000 0.0000
Cd 0.5000 0.5000 0.5000
Br 0.0000 0.0000 0.0000
! - Total magnetization: 0.00 μB per formula unit
! - E_form (uncorrected): 0.084 eV per atom
! - Total DFT energy (no corrections): -9.27 eV for the cell shown
! - DOS at the Fermi energy: 3.413 states/eV per cell

---

(2)
! Y5SbPd2, relaxed, DFT PBE; values from VASP
&SYSTEM
  ibrav = 0, nat = 16, ntyp = 3
/
ATOMIC_SPECIES
Y 88.91 Y.upf
Sb 121.76 Sb.upf
Pd 106.42 Pd.upf
CELL_PARAMETERS angstrom
-3.8838 3.8838 6.8792
3.8838 -3.8838 6.8792
3.8838 3.8838 -6.8792
ATOMIC_POSITIONS crystal
Y 0.0000 0.0000 0.0000
Y 0.0133 0.5133 0.8131
Y 0.2002 0.0133 0.5000
Y 0.2998 0.7998 0.8131
Y 0.4867 0.2998 0.5000
Y 0.5000 0.5000 0.0000
Y 0.5133 0.7002 0.5000
Y 0.7002 0.2002 0.1869
Y 0.7998 0.9867 0.5000
Y 0.9867 0.4867 0.1869
Sb 0.2500 0.2500 0.0000
Sb 0.7500 0.7500 0.0000
Pd 0.1360 0.3640 0.5000
Pd 0.3640 0.8640 0.2279
Pd 0.6360 0.1360 0.7721
Pd 0.8640 0.6360 0.5000
! - Total magnetization: 0.00 μB per formula unit
! - E_form (uncorrected): -0.777 eV per atom
! - Total DFT energy (no corrections): -106.09 eV for the cell shown
! - DOS at the Fermi energy: 12.705 states/eV per cell

---

(3)
! PaOF3, relaxed, DFT PBE; values from VASP
&SYSTEM
  ibrav = 0, nat = 10, ntyp = 3
/
ATOMIC_SPECIES
Pa 231.04 Pa.upf
O 16.00 O.upf
F 19.00 F.upf
CELL_PARAMETERS angstrom
4.6053 -3.5797 0.0000
4.6053 3.5797 0.0000
-4.2463 0.0000 4.7347
ATOMIC_POSITIONS crystal
Pa 0.2294 0.2294 0.1093
Pa 0.7706 0.7706 0.8907
O 0.0579 0.0579 0.2369
O 0.9421 0.9421 0.7631
F 0.0609 0.4436 0.8199
F 0.4436 0.0609 0.8199
F 0.4536 0.4536 0.6392
F 0.5464 0.5464 0.3608
F 0.5564 0.9391 0.1801
F 0.9391 0.5564 0.1801
! - Total magnetization: 0.00 μB per formula unit
! - E_form (uncorrected): -3.691 eV per atom
! - Total DFT energy (no corrections): -77.05 eV for the cell shown
! - DOS at the Fermi energy: 0.000 states/eV per cell

---

(4)
! LiMg2As, relaxed, DFT PBE; values from VASP
&SYSTEM
  ibrav = 0, nat = 4, ntyp = 3
/
ATOMIC_SPECIES
Li 6.94 Li.upf
Mg 24.30 Mg.upf
As 74.92 As.upf
CELL_PARAMETERS angstrom
2.9998 -5.0188 0.0000
2.9998 5.0188 0.0000
-1.5587 0.0000 2.6530
ATOMIC_POSITIONS crystal
Li 0.0000 0.0000 0.0000
Mg 0.0000 0.5000 0.5000
Mg 0.5000 0.0000 0.5000
As 0.5000 0.5000 0.0000
! - Total magnetization: 0.00 μB per formula unit
! - E_form: -60 kJ/mol of formula units
! - Total DFT energy (no corrections): -10.38 eV for the cell shown
! - DOS at the Fermi energy: 1.722 states/eV per cell

---

(5)
! CaReSi2, relaxed, DFT PBE; values from VASP
&SYSTEM
  ibrav = 0, nat = 4, ntyp = 3
/
ATOMIC_SPECIES
Ca 40.08 Ca.upf
Re 186.21 Re.upf
Si 28.09 Si.upf
CELL_PARAMETERS angstrom
-1.5209 2.7764 4.4611
1.5209 -2.7764 4.4611
1.5209 2.7764 -4.4611
ATOMIC_POSITIONS crystal
Ca 0.0000 0.0000 0.0000
Re 0.5000 0.5000 0.0000
Si 0.2863 0.7863 0.5000
Si 0.7137 0.2137 0.5000
! - Total magnetization: 0.00 μB per formula unit
! - E_form (uncorrected): 0.153 eV per atom
! - Total DFT energy (no corrections): -24.69 eV for the cell shown
! - DOS at the Fermi energy: 2.287 states/eV per cell

---

(6)
! Pm4NdGa5, relaxed, DFT PBE; values from VASP
&SYSTEM
  ibrav = 0, nat = 10, ntyp = 3
/
ATOMIC_SPECIES
Pm 145.00 Pm.upf
Nd 144.24 Nd.upf
Ga 69.72 Ga.upf
CELL_PARAMETERS angstrom
3.6729 0.0000 0.0000
0.0000 3.6729 0.0000
0.0000 0.0000 18.3540
ATOMIC_POSITIONS crystal
Pm 0.0000 0.0000 0.0997
Pm 0.0000 0.0000 0.2990
Pm 0.0000 0.0000 0.7010
Pm 0.0000 0.0000 0.9003
Nd 0.0000 0.0000 0.5000
Ga 0.5000 0.5000 0.0000
Ga 0.5000 0.5000 0.1993
Ga 0.5000 0.5000 0.3982
Ga 0.5000 0.5000 0.6018
Ga 0.5000 0.5000 0.8007
! - Total magnetization: 0.00 μB per formula unit
! - E_form: -547 kJ/mol of formula units
! - Total DFT energy (no corrections): -44.57 eV for the cell shown
! - DOS at the Fermi energy: 4.151 states/eV per cell

---

(7)
! Zr2CdTc, relaxed, DFT PBE; values from VASP
&SYSTEM
  ibrav = 0, nat = 4, ntyp = 3
/
ATOMIC_SPECIES
Zr 91.22 Zr.upf
Cd 112.41 Cd.upf
Tc 98.00 Tc.upf
CELL_PARAMETERS angstrom
1.6828 -2.4793 0.0000
1.6828 2.4793 0.0000
0.0000 0.0000 9.6840
ATOMIC_POSITIONS crystal
Zr 0.0000 0.0000 0.0000
Zr 0.5000 0.5000 0.2786
Cd 0.5000 0.5000 0.7277
Tc 0.0000 0.0000 0.4876
! - Total magnetization: 0.00 μB per formula unit
! - E_form: 44 kJ/mol of formula units
! - Total DFT energy (no corrections): -27.92 eV for the cell shown
! - DOS at the Fermi energy: 4.427 states/eV per cell

---

(8)
! FeTeMoH, relaxed, DFT PBE; values from VASP
&SYSTEM
  ibrav = 0, nat = 4, ntyp = 4
/
ATOMIC_SPECIES
Fe 55.84 Fe.upf
Te 127.60 Te.upf
Mo 95.94 Mo.upf
H 1.01 H.upf
CELL_PARAMETERS angstrom
3.1170 -1.7217 0.0000
3.1170 1.7217 0.0000
-0.3968 0.0000 5.7853
ATOMIC_POSITIONS crystal
Fe 0.0000 0.0000 0.0000
Te 0.9955 0.9955 0.4485
Mo 0.6896 0.6896 0.7753
H 0.5387 0.5387 0.0480
! - Total magnetization: 0.00 μB per formula unit
! - Total DFT energy (no corrections): -24.61 eV for the cell shown
! - DOS at the Fermi energy: 2.695 states/eV per cell

---

(9)
! BiTePd, relaxed, DFT PBE; values from VASP
&SYSTEM
  ibrav = 0, nat = 3, ntyp = 3
/
ATOMIC_SPECIES
Bi 208.98 Bi.upf
Te 127.60 Te.upf
Pd 106.42 Pd.upf
CELL_PARAMETERS angstrom
0.0000 3.4124 3.4124
3.4124 0.0000 3.4124
3.4124 3.4124 0.0000
ATOMIC_POSITIONS crystal
Bi 0.0000 0.0000 0.0000
Te 0.5000 0.5000 0.5000
Pd 0.2500 0.2500 0.2500
! - Total magnetization: 0.00 μB per formula unit
! - E_form (uncorrected): -0.260 eV per atom
! - Total DFT energy (no corrections): -13.00 eV for the cell shown
! - DOS at the Fermi energy: 1.176 states/eV per cell

---

(10)
! Ho5Er4Zr, relaxed, DFT PBE; values from VASP
&SYSTEM
  ibrav = 0, nat = 10, ntyp = 3
/
ATOMIC_SPECIES
Ho 164.93 Ho.upf
Er 167.26 Er.upf
Zr 91.22 Zr.upf
CELL_PARAMETERS angstrom
3.4673 0.0000 0.0000
-0.0260 6.9818 0.0000
-1.7258 -1.7385 12.2799
ATOMIC_POSITIONS crystal
Ho 0.0000 0.0000 0.0000
Ho 0.1995 0.0985 0.3978
Ho 0.2002 0.6013 0.4003
Ho 0.7998 0.3987 0.5997
Ho 0.8005 0.9015 0.6022
Er 0.4054 0.2127 0.8095
Er 0.4046 0.6919 0.8093
Er 0.5954 0.3081 0.1907
Er 0.5946 0.7873 0.1905
Zr 0.0000 0.5000 0.0000
! - Total magnetization: 0.00 μB per formula unit
! - E_form: 38 kJ/mol of formula units
! - Total DFT energy (no corrections): -49.30 eV for the cell shown
! - DOS at the Fermi energy: 11.892 states/eV per cell

---

(11)
! LuThZn2, relaxed, DFT PBE; values from VASP
&SYSTEM
  ibrav = 0, nat = 4, ntyp = 3
/
ATOMIC_SPECIES
Lu 174.97 Lu.upf
Th 232.04 Th.upf
Zn 65.41 Zn.upf
CELL_PARAMETERS angstrom
3.5100 0.0000 0.0000
0.0000 3.5100 0.0000
0.0000 0.0000 7.4425
ATOMIC_POSITIONS crystal
Lu 0.0000 0.0000 0.0000
Th 0.0000 0.0000 0.5000
Zn 0.5000 0.5000 0.2237
Zn 0.5000 0.5000 0.7763
! - Total magnetization: 0.00 μB per formula unit
! - E_form: -99 kJ/mol of formula units
! - Total DFT energy (no corrections): -15.51 eV for the cell shown
! - DOS at the Fermi energy: 3.677 states/eV per cell

---

(12)
! Sr2In2Ag3, relaxed, DFT PBE; values from VASP
&SYSTEM
  ibrav = 0, nat = 14, ntyp = 3
/
ATOMIC_SPECIES
Sr 87.62 Sr.upf
In 114.82 In.upf
Ag 107.87 Ag.upf
CELL_PARAMETERS angstrom
2.3318 -10.3179 0.0000
2.3318 10.3179 0.0000
0.0000 0.0000 7.9592
ATOMIC_POSITIONS crystal
Sr 0.0572 0.9428 0.7500
Sr 0.1513 0.8487 0.2500
Sr 0.8487 0.1513 0.7500
Sr 0.9428 0.0572 0.2500
In 0.3082 0.6918 0.0540
In 0.3082 0.6918 0.4460
In 0.6918 0.3082 0.5540
In 0.6918 0.3082 0.9460
Ag 0.2253 0.7747 0.7500
Ag 0.4398 0.5602 0.5714
Ag 0.4398 0.5602 0.9286
Ag 0.5602 0.4398 0.0714
Ag 0.5602 0.4398 0.4286
Ag 0.7747 0.2253 0.2500
! - Total magnetization: 0.00 μB per formula unit
! - E_form: -217 kJ/mol of formula units
! - Total DFT energy (no corrections): -39.29 eV for the cell shown
! - DOS at the Fermi energy: 5.524 states/eV per cell